Entry 1:
Below is an optimized crystal structure of TmNi2Sn, with properties calculated at the PBE-GGA level.

abc: 3.497 4.421 4.421
angles: 90.00 90.00 90.00
Sites, in units of the cell vectors:
Ni: 0.000 0.000 0.500
Ni: 0.000 0.500 0.000
Tm: 0.500 0.500 0.500
Sn: 0.500 0.000 0.000

## Properties
- Magnetic moment: 0.000 μB per atom
- Crystal system: tetragonal
- Space group: P4/mmm
- V: 17.09 Å³ per atom
- Uncorrected energy: -21.51 eV for the cell shown



Entry 2:
Below is an optimized crystal structure of LiSi, with properties calculated at the PBE-GGA level.

abc: 8.493 8.493 3.786
angles: 90.00 90.00 90.00
Sites, in units of the cell vectors:
Li: 0.203 0.500 0.000
Li: 0.797 0.500 0.000
Li: 0.500 0.797 0.000
Li: 0.500 0.203 0.000
Li: 0.703 0.000 0.500
Li: 0.297 0.000 0.500
Li: 0.000 0.297 0.500
Li: 0.000 0.703 0.500
Si: 0.815 0.815 0.000
Si: 0.815 0.185 0.000
Si: 0.185 0.815 0.000
Si: 0.185 0.185 0.000
Si: 0.315 0.315 0.500
Si: 0.315 0.685 0.500
Si: 0.685 0.315 0.500
Si: 0.685 0.685 0.500

## Properties
- Magnetic moment: 0.000 μB per atom
- Crystal system: tetragonal
- Space group: I4/mmm
- V: 17.06 Å³ per atom
- Energy relative to the elements, uncorrected: 0.02 eV per atom
- Uncorrected energy: -58.40 eV for the cell shown



Entry 3:
Below is an optimized crystal structure of NaHgOs2, with properties calculated at the PBE-GGA level.

abc: 8.024 8.024 6.183
angles: 49.55 49.55 90.00
Each line ends with the local moment (μB).
Sites, in units of the cell vectors:
Na: 0.500 0.500 0.000  0.00
Na: 0.250 0.750 0.500  0.00
Os: 0.659 0.125 0.250  0.40
Os: 0.091 0.625 0.250  0.40
Os: 0.375 0.341 0.750  0.40
Os: 0.875 0.909 0.750  0.40
Hg: 0.000 0.000 0.000  0.00
Hg: 0.750 0.250 0.500  0.00

## Properties
- Magnetic moment: 0.215 μB per atom
- Crystal system: tetragonal
- Space group: I-42d
- V: 19.78 Å³ per atom
- Uncorrected energy: -36.58 eV for the cell shown



Entry 4:
Below is an optimized crystal structure of MnGaCoRuS, with properties calculated at the PBE-GGA level.

abc: 5.284 3.025 8.961
angles: 90.00 95.84 90.00
Each line ends with the local moment (μB).
Sites, in units of the cell vectors:
Ru: 0.719 0.000 0.638  0.00
Ru: 0.719 0.500 0.138  0.00
S: 0.475 0.000 0.999  -0.03
S: 0.475 0.500 0.499  -0.03
Mn: 0.109 0.000 0.089  2.68
Mn: 0.109 0.500 0.589  2.68
Co: 0.231 0.000 0.794  0.77
Co: 0.231 0.500 0.294  0.77
Ga: 0.897 0.000 0.368  -0.06
Ga: 0.897 0.500 0.868  -0.06

## Properties
- Magnetic moment: 0.679 μB per atom
- Crystal system: monoclinic
- Excess energy over the best structure of this formula in the dataset: 0.84 eV per formula unit
- Space group: Cm
- V: 14.25 Å³ per atom
- Energy relative to the elements, uncorrected: -0.07 eV per atom
- Uncorrected energy: -66.08 eV for the cell shown



Entry 5:
Below is an optimized crystal structure of AlReSe2N, with properties calculated at the PBE-GGA level.

abc: 4.994 4.994 3.439
angles: 90.00 90.00 90.00
Each line ends with the local moment (μB).
Sites, in units of the cell vectors:
Re: 0.500 0.500 0.500  2.16
Al: 0.000 0.000 0.000  0.00
Se: 0.000 0.500 0.000  -0.06
Se: 0.500 0.000 0.000  -0.06
N: 0.000 0.000 0.500  0.30

## Properties
- Magnetic moment: 0.562 μB per atom
- Crystal system: tetragonal
- Excess energy over the best structure of this formula in the dataset: 3.24 eV per formula unit
- Space group: P4/mmm
- V: 17.15 Å³ per atom
- Energy relative to the elements, uncorrected: 0.92 eV per atom
- Uncorrected energy: -26.86 eV for the cell shown



Entry 6:
Below is an optimized crystal structure of Na2Tl8Hg3, with properties calculated at the PBE-GGA level.

abc: 6.577 8.964 8.144
angles: 123.39 97.98 90.00
Sites, in units of the cell vectors:
Na: 0.260 0.190 0.379
Na: 0.740 0.810 0.621
Tl: 0.873 0.591 0.182
Tl: 0.127 0.409 0.818
Tl: 0.784 0.203 0.406
Tl: 0.216 0.797 0.594
Tl: 0.565 0.570 0.766
Tl: 0.565 0.196 0.766
Tl: 0.435 0.804 0.234
Tl: 0.435 0.430 0.234
Hg: 0.500 0.000 0.000
Hg: 0.000 0.175 0.000
Hg: 0.000 0.825 0.000

## Properties
- Magnetic moment: 0.000 μB per atom
- Crystal system: monoclinic
- Space group: C2/m
- V: 30.41 Å³ per atom
- Uncorrected energy: -22.64 eV for the cell shown



Entry 7:
Below is an optimized crystal structure of Pm5Dy5In2, with properties calculated at the PBE-GGA level.

abc: 4.864 7.932 9.989
angles: 90.03 90.00 107.86
Sites, in units of the cell vectors:
Pm: 0.000 0.000 0.500
Pm: 0.668 0.336 0.000
Pm: 0.495 0.989 0.250
Pm: 0.505 0.011 0.750
Pm: 0.332 0.664 0.000
Dy: 0.670 0.339 0.501
Dy: 0.828 0.656 0.748
Dy: 0.172 0.344 0.252
Dy: 0.330 0.661 0.499
Dy: 0.000 0.000 0.000
In: 0.170 0.340 0.747
In: 0.830 0.660 0.253

## Properties
- Magnetic moment: 0.000 μB per atom
- Crystal system: monoclinic
- Excess energy over the best structure of this formula in the dataset: 0.00 eV per formula unit
- Space group: C2/m
- V: 30.57 Å³ per atom
- Uncorrected energy: -53.84 eV for the cell shown



Entry 8:
Below is an optimized crystal structure of TaAg2Br, with properties calculated at the PBE-GGA level.

abc: 3.016 3.016 10.049
angles: 90.00 90.00 111.19
Sites, in units of the cell vectors:
Br: 0.000 0.000 0.552
Ag: 0.000 0.000 0.984
Ag: 0.500 0.500 0.209
Ta: 0.500 0.500 0.755

## Properties
- Magnetic moment: 0.000 μB per atom
- Crystal system: orthorhombic
- Excess energy over the best structure of this formula in the dataset: 0.23 eV per formula unit
- Space group: Cmm2
- V: 21.31 Å³ per atom
- Energy relative to the elements, uncorrected: 0.27 eV per atom
- Uncorrected energy: -18.15 eV for the cell shown



Entry 9:
Below is an optimized crystal structure of SmTmCuSn, with properties calculated at the PBE-GGA level.

abc: 5.167 5.167 5.167
angles: 60.00 60.00 60.00
Sites, in units of the cell vectors:
Tm: 0.000 0.000 0.000
Sn: 0.250 0.250 0.250
Sm: 0.500 0.500 0.500
Cu: 0.750 0.750 0.750

## Properties
- Magnetic moment: 0.000 μB per atom
- Crystal system: cubic
- Space group: F-43m
- V: 24.38 Å³ per atom
- Uncorrected energy: -18.94 eV for the cell shown



Entry 10:
Below is an optimized crystal structure of KPdBr, with properties calculated at the PBE-GGA level.

abc: 10.265 3.899 9.010
angles: 90.00 90.00 90.00
Sites, in units of the cell vectors:
K: 0.781 0.250 0.517
K: 0.719 0.750 0.017
K: 0.219 0.750 0.483
K: 0.281 0.250 0.983
Br: 0.053 0.250 0.712
Br: 0.447 0.750 0.212
Br: 0.947 0.750 0.288
Br: 0.553 0.250 0.788
Pd: 0.481 0.250 0.401
Pd: 0.019 0.750 0.901
Pd: 0.519 0.750 0.599
Pd: 0.981 0.250 0.099

## Properties
- Magnetic moment: 0.000 μB per atom
- Crystal system: orthorhombic
- Excess energy over the best structure of this formula in the dataset: 0.11 eV per formula unit
- Space group: Pnma
- V: 30.05 Å³ per atom
- Energy relative to the elements, uncorrected: -0.68 eV per atom
- Uncorrected energy: -39.95 eV for the cell shown



Entry 11:
Below is an optimized crystal structure of LaSc2AlNi, with properties calculated at the PBE-GGA level.

abc: 4.967 4.967 4.709
angles: 90.00 90.00 90.00
Each line ends with the local moment (μB).
Sites, in units of the cell vectors:
Sc: 0.000 0.500 0.000  0.16
Sc: 0.500 0.000 0.000  0.16
Ni: 0.000 0.000 0.000  0.07
Al: 0.000 0.000 0.500  0.00
La: 0.500 0.500 0.500  0.17

## Properties
- Magnetic moment: 0.195 μB per atom
- Crystal system: tetragonal
- Space group: P4/mmm
- V: 23.24 Å³ per atom
- Uncorrected energy: -28.08 eV for the cell shown



Entry 12:
Below is an optimized crystal structure of ReNiSe, with properties calculated at the PBE-GGA level.

abc: 4.419 4.587 5.496
angles: 75.67 88.26 61.75
Sites, in units of the cell vectors:
Re: 0.724 0.598 0.587
Re: 0.276 0.402 0.413
Ni: 0.275 0.450 0.908
Ni: 0.725 0.550 0.092
Se: 0.241 0.969 0.229
Se: 0.759 0.031 0.771

## Properties
- Magnetic moment: 0.000 μB per atom
- Crystal system: triclinic
- Excess energy over the best structure of this formula in the dataset: 0.92 eV per formula unit
- Space group: P-1
- V: 15.76 Å³ per atom
- Energy relative to the elements, uncorrected: 0.22 eV per atom
- Uncorrected energy: -42.12 eV for the cell shown